Entry 1:
CdHgI2 | the Alexandria database | PBE-GGA | relaxed; spin magnetization = 0.00 μB/cell; crystal system = tetragonal; space group = I-42d; raw formation energy = -0.368 eV per atom; energy relative to the lowest polymorph listed for this composition = 33 meV/atom; E = -11.58 eV per cell; theoretical density = 5071 kg/m3
1.0
-4.362 4.362 4.879
4.362 -4.362 4.879
4.362 4.362 -4.879
Cd Hg I
2 2 4
Cartesian
0.000 0.000 0.000
0.000 4.362 2.439
4.362 0.000 2.439
0.000 0.000 4.879
6.542 1.377 -1.220
1.377 2.181 1.220
-2.181 2.985 3.659
2.985 2.181 6.099

***

Entry 2:
CdHgI3 | the Alexandria database | PBE-GGA | relaxed; spin magnetization = 0.00 μB/cell; crystal system = monoclinic; space group = C2/m; raw formation energy = -0.272 eV per atom; energy relative to the lowest polymorph listed for this composition = 0 meV/atom; E = -14.45 eV per cell; theoretical density = 5129 kg/m3
1.0
8.321 -2.156 0.000
8.321 2.156 0.000
-4.617 0.000 12.520
Cd Hg I
2 2 6
Cartesian
1.721 0.000 5.186
10.304 0.000 7.334
6.086 0.000 2.280
5.939 0.000 10.239
-2.408 0.000 12.099
4.675 0.000 4.653
3.029 0.000 9.198
8.996 0.000 3.322
7.350 0.000 7.867
14.432 0.000 0.420

***

Q: Which formula does entry 2 have?
A: CdHgI3